# KThCuCl6, relaxed, DFT GGA-PBE
# Energy relative to the elements, uncorrected in eV/atom: -1.715
data_KThCuCl6
_chemical_formula_sum 'K2 Th2 Cu2 Cl12'
_cell_length_a 6.7180
_cell_length_b 6.7180
_cell_length_c 14.4643
_cell_angle_alpha 90.00
_cell_angle_beta 90.00
_cell_angle_gamma 120.00
_space_group_name_H-M_alt 'P -3 1 c'
_space_group_IT_number 163
_space_group_name_Hall '-P 3 2c'
loop_
_atom_site_label
_atom_site_type_symbol
_atom_site_fract_x
_atom_site_fract_y
_atom_site_fract_z
_atom_site_occupancy
K1 K 0.0000 0.0000 0.0000 1
Th1 Th 0.3333 0.6667 0.2500 1
Cu1 Cu 0.3333 0.6667 0.7500 1
Cl1 Cl 0.0128 0.3667 0.6437 1